(1)
Below is K15Rb2Na2 after structural relaxation, with properties calculated at the PBE level.

The structure belongs to space group R-3m (No. 166, hexagonal axes); the cell edges are 14.6967, 14.6967 and 22.6227 Å and the angles 90.00°, 90.00° and 120.00°. The asymmetric unit holds K at (0.0000, 0.2947, 0.0000), K at (0.0000, 0.5000, 0.5000), K at (0.0009, 0.5004, 0.1475), Rb at (0.0000, 0.0000, 0.3171) and Na at (0.0000, 0.0000, 0.0861).

As for the formation energy: 50.8 meV per atom. As for the total energy: -1.056 eV per atom.


(2)
Below is CeScPa2N4 after structural relaxation, with properties calculated at the PBE level.

The structure belongs to space group Imma (No. 74); the cell edges are 6.8763, 6.9572 and 9.7517 Å and the angles 90.00°, 90.00° and 90.00°. The asymmetric unit holds Ce at (0.0000, 0.0000, 0.0000), Sc at (0.2500, 0.2500, 0.2500), Pa at (0.0000, 0.0000, 0.5000), Pa at (0.2500, 0.2500, 0.7500), N at (0.0000, 0.0088, 0.2559) and N at (0.2372, 0.2500, 0.4923).

As for the total energy: -9.691 eV per atom. The energy relative to the elements, uncorrected is -1.6212 eV per atom.


(3)
Below is GaCuSb2Te after structural relaxation, with properties calculated at the PBE level.

The structure belongs to space group P4/mmm (No. 123); the cell edges are 5.0773, 5.0773 and 5.4261 Å and the angles 90.00°, 90.00° and 90.00°. The asymmetric unit holds Ga at (0.0000, 0.0000, 0.0000), Cu at (0.5000, 0.5000, 0.5000), Sb at (0.0000, 0.5000, 0.5000) and Te at (0.5000, 0.5000, 0.0000).

Its energy above the most stable polymorph in this dataset is 0.000 eV per atom. As for the total energy: -3.304 eV per atom. The energy relative to the elements, uncorrected is 0.3983 eV per atom.


(4)
Below is CrSi2Te2 after structural relaxation, with properties calculated at the PBE level.

The structure belongs to space group P4/mbm (No. 127); the cell edges are 7.1949, 7.1949 and 4.2329 Å and the angles 90.00°, 90.00° and 90.00°. The asymmetric unit holds Cr at (0.0000, 0.0000, 0.0000), Si at (0.1249, 0.3751, 0.5000) and Te at (0.1843, 0.6843, 0.0000).

As for the total energy: -4.505 eV per atom. The energy relative to the elements, uncorrected is 0.8456 eV per atom.


(5)
Below is Ac4CdSi3 after structural relaxation, with properties calculated at the PBE level.

The structure belongs to space group Pmm2 (No. 25); the cell edges are 4.2764, 4.7384 and 11.9588 Å and the angles 90.00°, 90.00° and 90.00°. The asymmetric unit holds Ac at (0.0000, 0.0000, 0.0000), Ac at (0.0000, 0.5000, 0.4853), Ac at (0.5000, 0.0000, 0.7028), Ac at (0.5000, 0.5000, 0.2123), Cd at (0.0000, 0.5000, 0.7872), Si at (0.0000, 0.0000, 0.2863), Si at (0.5000, 0.0000, 0.4119) and Si at (0.5000, 0.5000, 0.9316).

As for the total energy: -4.673 eV per atom. The energy relative to the elements, uncorrected is -0.4710 eV per atom.


(6)
Below is Ca2TbNd after structural relaxation, with properties calculated at the PBE level.

The structure belongs to space group Fm-3m (No. 225); the cell edges are 8.3580, 8.3580 and 8.3580 Å and the angles 90.00°, 90.00° and 90.00°. The asymmetric unit holds Ca at (0.2500, 0.2500, 0.2500), Tb at (0.0000, 0.0000, 0.0000) and Nd at (0.0000, 0.0000, 0.5000).

As for the formation energy: 146.3 meV per atom. Its energy above the most stable polymorph in this dataset is 0.102 eV per atom. As for the total energy: -3.204 eV per atom.


(7)
Below is LiCaPtI2 after structural relaxation, with properties calculated at the PBE level.

The structure belongs to space group P4/mmm (No. 123); the cell edges are 5.8174, 5.8174 and 5.1835 Å and the angles 90.00°, 90.00° and 90.00°. The asymmetric unit holds Li at (0.0000, 0.0000, 0.0000), Ca at (0.5000, 0.5000, 0.0000), Pt at (0.5000, 0.5000, 0.5000) and I at (0.0000, 0.5000, 0.5000).

As for the total energy: -2.911 eV per atom. The energy relative to the elements, uncorrected is -0.2999 eV per atom.


(8)
Below is MnAl2Au after structural relaxation, with properties calculated at the PBE level.

The structure belongs to space group P4mm (No. 99); the cell edges are 2.8951, 2.8951 and 7.4850 Å and the angles 90.00°, 90.00° and 90.00°. The asymmetric unit holds Mn at (0.0000, 0.0000, 0.0000), Al at (0.0000, 0.0000, 0.4865), Al at (0.5000, 0.5000, 0.2163) and Au at (0.5000, 0.5000, 0.7369).

As for the formation energy: -97.5 meV per atom. As for the total energy: -5.080 eV per atom.


(9)
Below is CeZrOs after structural relaxation, with properties calculated at the PBE level.

The structure belongs to space group I4mm (No. 107); the cell edges are 3.2308, 3.2308 and 12.9697 Å and the angles 90.00°, 90.00° and 90.00°. The asymmetric unit holds Ce at (0.0000, 0.0000, 0.0000), Zr at (0.0000, 0.0000, 0.2718) and Os at (0.0000, 0.0000, 0.6519).

As for the formation energy: -132.3 meV per atom. Its energy above the most stable polymorph in this dataset is 0.000 eV per atom. As for the total energy: -8.703 eV per atom.


(10)
Below is LiErBi2 after structural relaxation, with properties calculated at the PBE level.

The structure belongs to space group P4/mmm (No. 123); the cell edges are 3.7907, 3.7907 and 7.5706 Å and the angles 90.00°, 90.00° and 90.00°. The asymmetric unit holds Li at (0.0000, 0.0000, 0.0000), Er at (0.0000, 0.0000, 0.5000) and Bi at (0.5000, 0.5000, 0.2415).

As for the formation energy: -436.7 meV per atom. Its energy above the most stable polymorph in this dataset is 0.129 eV per atom. As for the total energy: -3.996 eV per atom.


(11)
Below is AcTlCd2 after structural relaxation, with properties calculated at the PBE level.

The structure belongs to space group Amm2 (No. 38); the cell edges are 7.5261, 5.1522 and 11.8586 Å and the angles 90.00°, 90.00° and 90.00°. The asymmetric unit holds Ac at (0.0000, 0.0000, 0.0000), Ac at (0.5000, 0.0000, 0.1932), Tl at (0.2052, 0.0000, 0.7132), Cd at (0.0000, 0.0000, 0.2999), Cd at (0.3057, 0.0000, 0.4672) and Cd at (0.5000, 0.0000, 0.9037).

As for the formation energy: -292.1 meV per atom. As for the total energy: -2.368 eV per atom.


(12)
Below is Ca2MgPd5Au2 after structural relaxation, with properties calculated at the PBE level.

The structure belongs to space group P4/mbm (No. 127); the cell edges are 9.7377, 9.7377 and 4.0933 Å and the angles 90.00°, 90.00° and 90.00°. The asymmetric unit holds Ca at (0.1699, 0.3301, 0.0000), Mg at (0.0000, 0.0000, 0.0000), Pd at (0.0000, 0.5000, 0.5000), Pd at (0.0616, 0.8055, 0.5000) and Au at (0.1282, 0.6282, 0.0000).

As for the formation energy: -556.5 meV per atom. As for the total energy: -4.368 eV per atom.